An optimized crystal structure of Y3Fe2B9. Source: Alexandria, functional PBE.

Calculated values
Energy of formation: -0.265 eV per atom
Crystal system: orthorhombic

Geometry as CIF:
```
data_Y3Fe2B9
_chemical_formula_sum 'Y6 Fe4 B18'
_cell_length_a 3.135
_cell_length_b 7.544
_cell_length_c 13.343
_cell_angle_alpha 90.00
_cell_angle_beta 90.00
_cell_angle_gamma 90.00
_space_group_name_H-M_alt 'I m m m'
_space_group_IT_number 71
_space_group_name_Hall '-I 2 2'
loop_
_atom_site_label
_atom_site_fract_x
_atom_site_fract_y
_atom_site_fract_z
Y1 0.000 0.000 0.000
Y2 0.000 0.000 0.263
Fe1 0.000 0.165 0.500
B1 0.000 0.272 0.120
B2 0.000 0.306 0.371
B3 0.000 0.500 0.000
```

---

An optimized crystal structure of SbAuCl2. Source: Alexandria, functional PBE.

Calculated values
Crystal system: tetragonal
Uncorrected formation energy: 0.1696 eV/atom

Geometry as CIF:
```
data_SbAuCl2
_chemical_formula_sum 'Sb1 Au1 Cl2'
_cell_length_a 3.222
_cell_length_b 3.222
_cell_length_c 8.530
_cell_angle_alpha 90.00
_cell_angle_beta 90.00
_cell_angle_gamma 90.00
_space_group_name_H-M_alt 'P 4/m m m'
_space_group_IT_number 123
_space_group_name_Hall '-P 4 2'
loop_
_atom_site_label
_atom_site_fract_x
_atom_site_fract_y
_atom_site_fract_z
Sb1 0.000 0.000 0.000
Au1 0.000 0.000 0.500
Cl1 0.500 0.500 0.274
```

---

An optimized crystal structure of LiLaTa2. Source: Alexandria, functional PBE.

Calculated values
Energy of formation: 0.680 eV per atom
Crystal system: orthorhombic

Geometry as CIF:
```
data_LiLaTa2
_chemical_formula_sum 'Li1 La1 Ta2'
_cell_length_a 2.812
_cell_length_b 5.275
_cell_length_c 5.780
_cell_angle_alpha 90.00
_cell_angle_beta 90.00
_cell_angle_gamma 90.00
_space_group_name_H-M_alt 'P m m m'
_space_group_IT_number 47
loop_
_space_group_symop_operation_xyz
'x,y,z'
'-x,-y,-z'
'-x,-y,z'
'x,y,-z'
'x,-y,-z'
'-x,y,z'
'-x,y,-z'
'x,-y,z'
loop_
_atom_site_label
_atom_site_fract_x
_atom_site_fract_y
_atom_site_fract_z
Li1 0.000 0.000 0.000
La1 0.000 0.000 0.500
Ta1 0.500 0.500 0.251
```

---

An optimized crystal structure of Na2CaHg2Bi2. Source: Alexandria, functional PBE.

Calculated values
Energy of formation: -0.355 eV per atom
Crystal system: trigonal

Geometry as CIF:
```
data_Na2CaHg2Bi2
_chemical_formula_sum 'Na6 Ca3 Hg6 Bi6'
_cell_length_a 5.0614
_cell_length_b 5.0614
_cell_length_c 26.8467
_cell_angle_alpha 90.00
_cell_angle_beta 90.00
_cell_angle_gamma 120.00
_space_group_name_H-M_alt 'R -3 m'
_space_group_IT_number 166
_space_group_name_Hall '-R 3 2"'
loop_
_atom_site_label
_atom_site_fract_x
_atom_site_fract_y
_atom_site_fract_z
Na1 0.0000 0.0000 0.1412
Ca1 0.0000 0.0000 0.0000
Hg1 0.0000 0.0000 0.4441
Bi1 0.0000 0.0000 0.2684
```

---

An optimized crystal structure of HgTe2Rh. Source: Alexandria, functional PBE.

Calculated values
Crystal system: tetragonal
Uncorrected formation energy: 0.3897 eV/atom

Geometry as CIF:
```
data_HgTe2Rh
_chemical_formula_sum 'Hg2 Te4 Rh2'
_cell_length_a 4.077
_cell_length_b 4.077
_cell_length_c 11.402
_cell_angle_alpha 90.00
_cell_angle_beta 90.00
_cell_angle_gamma 90.00
_space_group_name_H-M_alt 'I -4 m 2'
_space_group_IT_number 119
_space_group_name_Hall 'I -4 -2'
loop_
_atom_site_label
_atom_site_fract_x
_atom_site_fract_y
_atom_site_fract_z
Hg1 0.000 0.000 0.000
Te1 0.000 0.000 0.500
Te2 0.000 0.500 0.250
Rh1 0.000 0.500 0.750
```

---

An optimized crystal structure of NbZn3B. Source: Alexandria, functional PBE.

Calculated values
Energy of formation: 0.566 eV per atom
Crystal system: cubic

Geometry as CIF:
```
data_NbZn3B
_chemical_formula_sum 'Nb1 Zn3 B1'
_cell_length_a 4.146
_cell_length_b 4.146
_cell_length_c 4.146
_cell_angle_alpha 90.00
_cell_angle_beta 90.00
_cell_angle_gamma 90.00
_space_group_name_H-M_alt 'P m -3 m'
_space_group_IT_number 221
_space_group_name_Hall '-P 4 2 3'
loop_
_atom_site_label
_atom_site_fract_x
_atom_site_fract_y
_atom_site_fract_z
Nb1 0.000 0.000 0.000
Zn1 0.000 0.500 0.500
B1 0.500 0.500 0.500
```

---

An optimized crystal structure of Nd4ScPa3P8. Source: Alexandria, functional PBE.

Calculated values
Energy of formation: -1.445 eV per atom
Crystal system: trigonal

Geometry as CIF:
```
data_Nd4ScPa3P8
_chemical_formula_sum 'Nd12 Sc3 Pa9 P24'
_cell_length_a 8.0529
_cell_length_b 8.0529
_cell_length_c 19.9114
_cell_angle_alpha 90.00
_cell_angle_beta 90.00
_cell_angle_gamma 120.00
_space_group_name_H-M_alt 'R -3 m'
_space_group_IT_number 166
_space_group_name_Hall '-R 3 2"'
loop_
_atom_site_label
_atom_site_fract_x
_atom_site_fract_y
_atom_site_fract_z
Nd1 0.0000 0.0000 0.0000
Nd2 0.0000 0.5000 0.0000
Sc1 0.0000 0.0000 0.5000
Pa1 0.0000 0.5000 0.5000
P1 0.0000 0.0000 0.2449
P2 0.0031 0.5016 0.2431
```

---

An optimized crystal structure of CeDyZn4. Source: Alexandria, functional PBE.

Calculated values
Energy of formation: -0.320 eV per atom
Crystal system: orthorhombic

Geometry as CIF:
```
data_CeDyZn4
_chemical_formula_sum 'Ce2 Dy2 Zn8'
_cell_length_a 4.561
_cell_length_b 6.918
_cell_length_c 7.789
_cell_angle_alpha 90.00
_cell_angle_beta 90.00
_cell_angle_gamma 90.00
_space_group_name_H-M_alt 'I m m m'
_space_group_IT_number 71
_space_group_name_Hall '-I 2 2'
loop_
_atom_site_label
_atom_site_fract_x
_atom_site_fract_y
_atom_site_fract_z
Ce1 0.000 0.000 0.000
Dy1 0.000 0.500 0.000
Zn1 0.000 0.264 0.333
```

---

An optimized crystal structure of Na3Pu2CrS6. Source: Alexandria, functional PBE.

Calculated values
Crystal system: monoclinic
Uncorrected formation energy: -1.2938 eV/atom

Geometry as CIF:
```
data_Na3Pu2CrS6
_chemical_formula_sum 'Na6 Pu4 Cr2 S12'
_cell_length_a 6.686
_cell_length_b 11.586
_cell_length_c 7.037
_cell_angle_alpha 90.00
_cell_angle_beta 108.59
_cell_angle_gamma 90.00
_space_group_name_H-M_alt 'C 1 2/m 1'
_space_group_IT_number 12
loop_
_space_group_symop_operation_xyz
'x,y,z'
'-x,-y,-z'
'-x,y,-z'
'x,-y,z'
'x+1/2,y+1/2,z'
'-x+1/2,-y+1/2,-z'
'-x+1/2,y+1/2,-z'
'x+1/2,-y+1/2,z'
loop_
_atom_site_label
_atom_site_fract_x
_atom_site_fract_y
_atom_site_fract_z
Na1 0.000 0.000 0.000
Na2 0.000 0.333 0.000
Pu1 0.000 0.167 0.500
Cr1 0.000 0.500 0.500
S1 0.226 0.347 0.719
S2 0.233 0.500 0.285
```

---

An optimized crystal structure of LiPm2Te. Source: Alexandria, functional PBE.

Calculated values
Crystal system: tetragonal
Uncorrected formation energy: -0.5983 eV/atom

Geometry as CIF:
```
data_LiPm2Te
_chemical_formula_sum 'Li1 Pm2 Te1'
_cell_length_a 4.038
_cell_length_b 4.038
_cell_length_c 6.767
_cell_angle_alpha 90.00
_cell_angle_beta 90.00
_cell_angle_gamma 90.00
_space_group_name_H-M_alt 'P 4/m m m'
_space_group_IT_number 123
_space_group_name_Hall '-P 4 2'
loop_
_atom_site_label
_atom_site_fract_x
_atom_site_fract_y
_atom_site_fract_z
Li1 0.000 0.000 0.000
Pm1 0.500 0.500 0.247
Te1 0.000 0.000 0.500
```

---

An optimized crystal structure of LuGa2Sb. Source: Alexandria, functional PBE.

Calculated values
Crystal system: tetragonal
Uncorrected formation energy: -0.4312 eV/atom

Geometry as CIF:
```
data_LuGa2Sb
_chemical_formula_sum 'Lu1 Ga2 Sb1'
_cell_length_a 4.495
_cell_length_b 4.495
_cell_length_c 4.295
_cell_angle_alpha 90.00
_cell_angle_beta 90.00
_cell_angle_gamma 90.00
_space_group_name_H-M_alt 'P 4/m m m'
_space_group_IT_number 123
_space_group_name_Hall '-P 4 2'
loop_
_atom_site_label
_atom_site_fract_x
_atom_site_fract_y
_atom_site_fract_z
Lu1 0.000 0.000 0.000
Ga1 0.000 0.500 0.500
Sb1 0.500 0.500 0.000
```

---

An optimized crystal structure of SrCaMnTe2. Source: Alexandria, functional PBE.

Calculated values
Crystal system: tetragonal
Uncorrected formation energy: -0.3840 eV/atom

Geometry as CIF:
```
data_SrCaMnTe2
_chemical_formula_sum 'Sr1 Ca1 Mn1 Te2'
_cell_length_a 5.563
_cell_length_b 5.563
_cell_length_c 4.905
_cell_angle_alpha 90.00
_cell_angle_beta 90.00
_cell_angle_gamma 90.00
_space_group_name_H-M_alt 'P 4/m m m'
_space_group_IT_number 123
_space_group_name_Hall '-P 4 2'
loop_
_atom_site_label
_atom_site_fract_x
_atom_site_fract_y
_atom_site_fract_z
Sr1 0.000 0.000 0.000
Ca1 0.500 0.500 0.000
Mn1 0.500 0.500 0.500
Te1 0.000 0.500 0.500
```